The following is a PBE calculation of a geometry-optimized Tl3ZnP structure, from the Alexandria database.

Cell lengths 5.4358, 5.4358, 5.4358 Å; angles 90.00, 90.00, 90.00 degrees
Sites, in units of the cell vectors:
Tl: 0.0000 0.0000 0.5000
Tl: 0.0000 0.5000 0.0000
Tl: 0.5000 0.0000 0.0000
Zn: 0.5000 0.5000 0.5000
P: 0.0000 0.0000 0.0000

Summary:
Calculated formation energy in eV/f.u.: 2.3
Energy in eV/atom: -2.289
Spin magnetization in μB/cell: 0.00